# 1
The following is a DFT calculation (PBE) of a relaxed structure of TlPt3O4.

```
TlPt3O4
1.0
-4.7139 -4.0468 3.0769
1.6681 -6.4668 1.8608
0.6666 -1.6137 6.7094
Tl O Pt
2 8 6
direct
0.5000 0.5000 0.5000 Tl
0.0000 0.0000 0.0000 Tl
0.4284 0.8572 0.8572 O
0.1428 0.5716 0.1428 O
0.5716 0.1428 0.1428 O
0.8572 0.4284 0.8572 O
0.1428 0.1428 0.1428 O
0.1428 0.1428 0.5716 O
0.8572 0.8572 0.4284 O
0.8572 0.8572 0.8572 O
0.0000 0.0000 0.5000 Pt
0.5000 0.0000 0.5000 Pt
0.5000 0.0000 0.0000 Pt
0.0000 0.5000 0.5000 Pt
0.0000 0.5000 0.0000 Pt
0.5000 0.5000 0.0000 Pt
```

Summary:
density: 12.0 Mg/m³
size of the total moment: 0.0 μB per formula unit

***

# 2
The following is a DFT calculation (PBE) of a relaxed structure of TmTlPtO6.

```
TmTlPtO6
1.0
-2.1587 4.8579 1.6100
-3.1431 -4.5795 0.0222
2.5471 -1.7067 8.5649
Tl O Tm Pt
2 12 2 2
direct
0.0000 0.0000 0.5000 Tl
0.0000 0.0000 0.0000 Tl
0.9691 0.6254 0.3713 O
0.3438 0.9691 0.6287 O
0.3746 0.0309 0.1287 O
0.9691 0.3438 0.1287 O
0.0309 0.3746 0.6287 O
0.6562 0.6254 0.1287 O
0.3438 0.3746 0.8713 O
0.6562 0.0309 0.3713 O
0.6254 0.6562 0.6287 O
0.3746 0.3438 0.3713 O
0.6254 0.9691 0.8713 O
0.0309 0.6562 0.8713 O
0.3333 0.6667 0.2500 Tm
0.6667 0.3333 0.7500 Tm
0.6667 0.3333 0.2500 Pt
0.3333 0.6667 0.7500 Pt
```

Summary:
density: 9.1 Mg/m³
size of the total moment: 0.0 μB per formula unit

***

# 3
The following is a DFT calculation (PBE) of a relaxed structure of UTl2PtO6.

```
UTl2PtO6
1.0
5.8025 0.0000 0.0029
0.0000 5.8028 0.0028
2.9035 2.9037 5.3651
Pt O Tl U
1 6 2 1
direct
0.5000 0.5000 0.0000 Pt
0.7347 0.2651 0.0000 O
0.2652 0.2655 0.9997 O
0.7348 0.7345 0.0003 O
0.2653 0.7349 0.0000 O
0.8207 0.8207 0.3582 O
0.1793 0.1793 0.6418 O
0.7501 0.2499 0.4999 Tl
0.2499 0.7501 0.5001 Tl
0.0000 0.0000 0.0000 U
```

Summary:
density: 8.6 Mg/m³
size of the total moment: 1.8 μB per formula unit

***

Number 1: formation energy without anion corrections -0.537 eV per atom. Number 2: formation energy without anion corrections -1.210 eV per atom. Number 3: formation energy without anion corrections -1.532 eV per atom.